Below is a geometry-optimized BaMgCl2 structure, with properties calculated at the PBEsol level.

Cell: 3.9300 3.9300 27.1810 Å, 90.00 90.00 120.00°
Space group R-3m (No. 166, hexagonal axes)
One atom of each set of equivalent atoms:
Ba: 0.0000 0.0000 0.0000 (multiplicity 3)
Mg: 0.0000 0.0000 0.5000 (multiplicity 3)
Cl: 0.0000 0.0000 0.1196 (multiplicity 6)

Summary:
E_form (uncorrected) = -1.1969 eV/atom
energy above the most stable polymorph in this dataset = 288.6 meV/atom
total moment = 0.00 μB/f.u.
volume = 30.30 Å³ per atom

=====

Below is a geometry-optimized ReMoIr2 structure, with properties calculated at the PBEsol level.

Cell: 5.4306 7.7898 2.7142 Å, 90.00 90.00 90.00°
Space group Cmmm (No. 65)
One atom of each set of equivalent atoms:
Re: 0.0000 0.0000 0.0000 (multiplicity 2)
Mo: 0.0000 0.5000 0.0000 (multiplicity 2)
Ir: 0.2500 0.2500 0.5000 (multiplicity 4)

Summary:
energy above the most stable polymorph in this dataset = 104.2 meV/atom
ΔH_f (0 K) = -243.9 meV per atom
total moment = 0.00 μB/f.u.
volume = 14.35 Å³ per atom

=====

Below is a geometry-optimized ScCoPt3 structure, with properties calculated at the PBEsol level.

Cell: 4.4990 4.4990 4.4990 Å, 90.00 90.00 90.00°
Space group Pm-3m (No. 221)
One atom of each set of equivalent atoms:
Sc: 0.0000 0.0000 0.0000 (multiplicity 1)
Co: 0.5000 0.5000 0.5000 (multiplicity 1)
Pt: 0.0000 0.5000 0.5000 (multiplicity 3)

Summary:
ΔH_f (0 K) = 300.2 meV per atom
total moment = 2.52 μB/f.u.
volume = 18.21 Å³ per atom

=====

Below is a geometry-optimized Y2HgPb structure, with properties calculated at the PBEsol level.

Cell: 5.0894 5.0894 3.9593 Å, 90.00 90.00 90.00°
Space group P4/mmm (No. 123)
One atom of each set of equivalent atoms:
Y: 0.0000 0.5000 0.0000 (multiplicity 2)
Hg: 0.0000 0.0000 0.5000 (multiplicity 1)
Pb: 0.5000 0.5000 0.5000 (multiplicity 1)

Summary:
ΔH_f (0 K) = -572.3 meV per atom
total moment = 0.00 μB/f.u.
volume = 25.64 Å³ per atom

=====

Below is a geometry-optimized TiP2AuCl structure, with properties calculated at the PBEsol level.

Cell: 4.7100 4.7100 4.8619 Å, 90.00 90.00 90.00°
Space group P4/mmm (No. 123)
One atom of each set of equivalent atoms:
Ti: 0.0000 0.0000 0.0000 (multiplicity 1)
P: 0.0000 0.5000 0.5000 (multiplicity 2)
Au: 0.5000 0.5000 0.5000 (multiplicity 1)
Cl: 0.5000 0.5000 0.0000 (multiplicity 1)

Summary:
E_form (uncorrected) = 0.8059 eV/atom
total moment = 0.98 μB/f.u.
volume = 21.57 Å³ per atom

=====

Below is a geometry-optimized LaSi2Br structure, with properties calculated at the PBEsol level.

Cell: 4.3074 3.9088 5.9524 Å, 90.00 110.37 90.00°
Space group Pm (No. 6)
One atom of each set of equivalent atoms:
La: 0.0000 0.0000 0.0000 (multiplicity 1)
Si: 0.6692 0.0000 0.4224 (multiplicity 1)
Si: 0.9467 0.5000 0.3725 (multiplicity 1)
Br: 0.4182 0.5000 0.8208 (multiplicity 1)

Summary:
E_form (uncorrected) = -0.5852 eV/atom
energy above the most stable polymorph in this dataset = 0.0 meV/atom
total moment = 0.00 μB/f.u.
volume = 23.49 Å³ per atom

=====

Below is a geometry-optimized BaSe3S structure, with properties calculated at the PBEsol level.

Cell: 4.9813 4.9813 4.9813 Å, 90.00 90.00 90.00°
Space group Pm-3m (No. 221)
One atom of each set of equivalent atoms:
Ba: 0.0000 0.0000 0.0000 (multiplicity 1)
Se: 0.0000 0.5000 0.5000 (multiplicity 3)
S: 0.5000 0.5000 0.5000 (multiplicity 1)

Summary:
E_form (uncorrected) = -0.6615 eV/atom
total moment = 0.00 μB/f.u.
volume = 24.72 Å³ per atom

=====

Below is a geometry-optimized KHg3 structure, with properties calculated at the PBEsol level.

Cell: 4.9247 5.0325 8.6816 Å, 90.00 90.00 90.00°
Space group Immm (No. 71)
One atom of each set of equivalent atoms:
K: 0.0000 0.0000 0.0000 (multiplicity 2)
Hg: 0.0000 0.0000 0.5000 (multiplicity 2)
Hg: 0.0000 0.5000 0.2458 (multiplicity 4)

Summary:
ΔH_f (0 K) = -180.5 meV per atom
total moment = 0.00 μB/f.u.
volume = 26.90 Å³ per atom

=====

Below is a geometry-optimized BaSr3Ga structure, with properties calculated at the PBEsol level.

Cell: 6.2403 6.2403 6.2403 Å, 90.00 90.00 90.00°
Space group Pm-3m (No. 221)
One atom of each set of equivalent atoms:
Ba: 0.0000 0.0000 0.0000 (multiplicity 1)
Sr: 0.0000 0.5000 0.5000 (multiplicity 3)
Ga: 0.5000 0.5000 0.5000 (multiplicity 1)

Summary:
energy above the most stable polymorph in this dataset = 0.0 meV/atom
ΔH_f (0 K) = -78.7 meV per atom
total moment = 0.00 μB/f.u.
volume = 48.60 Å³ per atom

=====

Below is a geometry-optimized Ba2ReIr structure, with properties calculated at the PBEsol level.

Cell: 3.5527 3.7258 17.4481 Å, 90.00 90.00 90.00°
Space group Immm (No. 71)
One atom of each set of equivalent atoms:
Ba: 0.0000 0.0000 0.1507 (multiplicity 4)
Re: 0.0000 0.5000 0.0000 (multiplicity 2)
Ir: 0.0000 0.5000 0.5000 (multiplicity 2)

Summary:
energy above the most stable polymorph in this dataset = 93.3 meV/atom
ΔH_f (0 K) = 578.6 meV per atom
total moment = 0.47 μB/f.u.
volume = 28.87 Å³ per atom

=====

Below is a geometry-optimized BaCa2GaRu structure, with properties calculated at the PBEsol level.

Cell: 5.5640 5.5640 4.7830 Å, 90.00 90.00 90.00°
Space group P4/mmm (No. 123)
One atom of each set of equivalent atoms:
Ba: 0.0000 0.0000 0.0000 (multiplicity 1)
Ca: 0.0000 0.5000 0.5000 (multiplicity 2)
Ga: 0.5000 0.5000 0.5000 (multiplicity 1)
Ru: 0.5000 0.5000 0.0000 (multiplicity 1)

Summary:
ΔH_f (0 K) = 279.5 meV per atom
total moment = 0.00 μB/f.u.
volume = 29.61 Å³ per atom

=====

Below is a geometry-optimized BeCuSbI2 structure, with properties calculated at the PBEsol level.

Cell: 5.2827 5.2827 4.9986 Å, 90.00 90.00 90.00°
Space group P4/mmm (No. 123)
One atom of each set of equivalent atoms:
Be: 0.0000 0.0000 0.0000 (multiplicity 1)
Cu: 0.5000 0.5000 0.5000 (multiplicity 1)
Sb: 0.5000 0.5000 0.0000 (multiplicity 1)
I: 0.0000 0.5000 0.5000 (multiplicity 2)

Summary:
E_form (uncorrected) = 0.8424 eV/atom
total moment = 0.00 μB/f.u.
volume = 27.90 Å³ per atom

=====

- The lowest volume belongs to which entry?
  ReMoIr2

=====

- What is the formula in the eighth record?
  KHg3

=====

- Number 12 is which compound?
  BeCuSbI2